1.
DFT (PBE) results for a relaxed structure of Ba3Ga2I8.

a b c (Å): 9.176 9.176 8.751
angles (deg): 93.23 93.23 67.49
Positions (direct):
Ba (0.000, 0.000, 0.000)
Ba (0.251, 0.749, 0.500)
Ba (0.749, 0.251, 0.500)
Ga (0.283, 0.283, 0.959)
Ga (0.717, 0.717, 0.041)
I (0.093, 0.637, 0.161)
I (0.123, 0.123, 0.346)
I (0.363, 0.907, 0.839)
I (0.384, 0.384, 0.664)
I (0.616, 0.616, 0.336)
I (0.637, 0.093, 0.161)
I (0.877, 0.877, 0.654)
I (0.907, 0.363, 0.839)

Output
As for the space group: C2/m.

=====

2.
DFT (PBE) results for a relaxed structure of BaGaI.

a b c (Å): 6.581 4.721 7.842
angles (deg): 90.00 103.69 90.00
Positions (direct):
Ba (0.174, 0.250, 0.237)
Ba (0.826, 0.750, 0.763)
Ga (0.402, 0.750, 0.012)
Ga (0.598, 0.250, 0.988)
I (0.277, 0.750, 0.595)
I (0.723, 0.250, 0.405)

Output
As for the space group: P2_1/m.

=====

3.
DFT (PBE) results for a relaxed structure of Ba4GaI2.

a b c (Å): 8.945 14.172 5.300
angles (deg): 90.00 90.00 90.00
Positions (direct):
Ba (0.139, 0.211, 0.000)
Ba (0.213, 0.948, 0.500)
Ba (0.287, 0.448, 0.500)
Ba (0.361, 0.711, 0.000)
Ba (0.639, 0.289, 0.000)
Ba (0.713, 0.552, 0.500)
Ba (0.787, 0.052, 0.500)
Ba (0.861, 0.789, 0.000)
Ga (0.000, 0.000, 0.000)
Ga (0.500, 0.500, 0.000)
I (0.085, 0.685, 0.500)
I (0.415, 0.185, 0.500)
I (0.585, 0.815, 0.500)
I (0.915, 0.315, 0.500)

Output
As for the space group: Pbam.

=====

4.
DFT (PBE) results for a relaxed structure of Ba3GaI.

a b c (Å): 4.660 9.083 11.291
angles (deg): 90.00 90.00 90.00
Positions (direct):
Ba (0.250, 0.019, 0.152)
Ba (0.250, 0.250, 0.591)
Ba (0.250, 0.481, 0.152)
Ba (0.750, 0.519, 0.848)
Ba (0.750, 0.750, 0.409)
Ba (0.750, 0.981, 0.848)
Ga (0.250, 0.250, 0.896)
Ga (0.750, 0.750, 0.104)
I (0.250, 0.750, 0.663)
I (0.750, 0.250, 0.337)

Output
As for the space group: Pmmn.

=====

5.
DFT (PBE) results for a relaxed structure of BaGaI.

a b c (Å): 4.654 6.573 8.102
angles (deg): 84.14 85.01 73.11
Positions (direct):
Ba (0.000, 0.000, 0.000)
Ba (0.228, 0.566, 0.454)
Ga (0.342, 0.378, 0.047)
Ga (0.748, 0.558, 0.144)
I (0.618, 0.689, 0.766)
I (0.940, 0.136, 0.444)

Output
As for the space group: P1.

=====

6.
DFT (PBE) results for a relaxed structure of BaGaI5.

a b c (Å): 8.579 8.579 11.716
angles (deg): 108.24 108.24 94.00
Positions (direct):
Ba (0.000, 0.500, 0.000)
Ba (0.500, 0.000, 0.500)
Ga (0.101, 0.899, 0.750)
Ga (0.899, 0.101, 0.250)
I (0.196, 0.219, 0.819)
I (0.196, 0.755, 0.558)
I (0.219, 0.196, 0.319)
I (0.245, 0.804, 0.942)
I (0.366, 0.634, 0.250)
I (0.634, 0.366, 0.750)
I (0.755, 0.196, 0.058)
I (0.781, 0.804, 0.681)
I (0.804, 0.245, 0.442)
I (0.804, 0.781, 0.181)

Output
As for the space group: C2/c.

=====

Calculated values (meV/atom) of energy relative to the elements, uncorrected for the records, taken in order: -1296 -848 -828 -610 -833 -1011.
Calculated values (Å³/cell) of V for the records, taken in order: 679 237 672 478 235 764.